Material: Ce2CoSe
Method: DFT, GGA-PBE
State: relaxed

Geometry as extended XYZ:
```
12
Lattice="3.899 0.000 0.000 -1.950 3.377 0.000 0.000 0.000 21.840" Properties=species:S:1:pos:R:3 pbc="T T T"
Ce 0.000 0.000 0.000
Ce 0.000 0.000 4.168
Ce 0.000 2.251 14.560
Ce 0.000 2.251 18.728
Ce 1.950 1.126 7.280
Ce 1.950 1.126 11.448
Co 0.000 0.000 12.942
Co 0.000 2.251 5.662
Co 1.950 1.126 20.222
Se 0.000 0.000 16.657
Se 0.000 2.251 9.377
Se 1.950 1.126 2.097
```

Output
magnetization = 3.448 μB/cell
crystal system = trigonal
energy relative to the lowest polymorph listed for this composition = 62 meV per atom

Material: Ce2Tl3CoSe6
Method: DFT, GGA-PBE
State: relaxed

Geometry as extended XYZ:
```
12
Lattice="3.560 -6.143 0.000 3.560 6.143 0.000 -2.395 0.000 7.761" Properties=species:S:1:pos:R:3 pbc="T T T"
Ce 3.560 4.106 0.000
Ce 3.560 -4.106 0.000
Tl -1.198 0.000 3.880
Tl 2.362 2.132 3.880
Tl 2.362 -2.132 3.880
Co 3.560 0.000 0.000
Se 0.064 1.904 6.239
Se 1.306 0.000 1.599
Se 0.064 -1.904 6.239
Se 4.660 1.904 1.522
Se 3.419 0.000 6.161
Se 4.660 -1.904 1.522
```

Output
magnetization = 2.994 μB/cell
crystal system = monoclinic

Material: Ce3Tl3CoSe8
Method: DFT, GGA-PBE
State: relaxed

Geometry as extended XYZ:
```
15
Lattice="7.145 -4.124 0.000 7.145 4.124 0.000 -4.764 0.000 7.887" Properties=species:S:1:pos:R:3 pbc="T T T"
Ce 0.000 0.000 0.000
Ce 3.572 2.062 0.000
Ce 3.572 -2.062 0.000
Tl 1.191 2.062 3.943
Tl 1.191 -2.062 3.943
Tl 4.763 0.000 3.943
Co 7.145 0.000 0.000
Se 2.391 0.000 1.681
Se 6.095 1.811 1.453
Se 0.272 0.000 6.421
Se 3.431 1.811 6.434
Se 6.095 -1.811 1.453
Se 9.254 0.000 1.466
Se 3.431 -1.811 6.434
Se 7.135 0.000 6.206
```

Output
magnetization = 2.056 μB/cell
crystal system = monoclinic

Material: CeCo2Si
Method: DFT, GGA-PBE
State: relaxed

Geometry as extended XYZ:
```
12
Lattice="3.945 0.000 0.000 -1.973 3.417 0.000 0.000 0.000 14.058" Properties=species:S:1:pos:R:3 pbc="T T T"
Ce 0.000 0.000 0.000
Ce 0.000 2.278 9.372
Ce 1.973 1.139 4.686
Co 0.000 0.000 2.881
Co 0.000 0.000 11.177
Co 0.000 2.278 6.491
Co 0.000 2.278 12.253
Co 1.973 1.139 1.805
Co 1.973 1.139 7.567
Si 0.000 0.000 7.029
Si 0.000 2.278 2.343
Si 1.973 1.139 11.715
```

Output
magnetization = 0.000 μB/cell
crystal system = trigonal
energy relative to the lowest polymorph listed for this composition = 0 meV per atom

Material: CeCo3Si3
Method: DFT, GGA-PBE
State: relaxed

Geometry as extended XYZ:
```
14
Lattice="3.076 1.776 6.292 -3.076 1.776 6.292 0.000 -3.552 6.292" Properties=species:S:1:pos:R:3 pbc="T T T"
Ce 0.000 0.000 3.008
Ce 0.000 0.000 15.868
Co -0.672 -1.312 7.823
Co -1.472 -0.074 11.052
Co -0.800 1.238 7.823
Co 0.800 -1.238 11.052
Co 1.472 0.074 7.823
Co 0.672 1.312 11.052
Si -0.586 -1.620 5.528
Si -1.110 1.317 5.528
Si -1.696 -0.303 13.348
Si 1.696 0.303 5.528
Si 1.110 -1.317 13.348
Si 0.586 1.620 13.348
```

Output
magnetization = 0.002 μB/cell
crystal system = trigonal
energy relative to the lowest polymorph listed for this composition = 0 meV per atom

Material: CeCo12Si4
Method: DFT, GGA-PBE
State: relaxed

Geometry as extended XYZ:
```
17
Lattice="-3.873 3.873 3.873 3.873 -3.873 3.873 3.873 3.873 -3.873" Properties=species:S:1:pos:R:3 pbc="T T T"
Ce 0.000 0.000 0.000
Co 2.750 0.000 1.161
Co 4.997 0.000 1.161
Co 3.873 2.713 -1.124
Co 1.161 2.750 0.000
Co 2.713 -1.124 3.873
Co 3.873 2.713 1.124
Co 0.000 1.161 2.750
Co 1.161 4.997 0.000
Co 2.713 1.124 3.873
Co 0.000 1.161 4.997
Co -1.124 3.873 2.713
Co 1.124 3.873 2.713
Si 1.937 1.937 -1.937
Si 1.937 -1.937 1.937
Si -1.937 1.937 1.937
Si 1.937 1.937 1.937
```

Output
magnetization = 11.376 μB/cell
crystal system = cubic

Material: Ce4Co4Si
Method: DFT, GGA-PBE
State: relaxed

Geometry as extended XYZ:
```
9
Lattice="-4.259 4.259 2.427 4.259 -4.259 2.427 4.259 4.259 -2.427" Properties=species:S:1:pos:R:3 pbc="T T T"
Ce 2.405 0.683 0.000
Ce 3.576 -1.854 2.427
Ce 0.683 6.113 0.000
Ce 1.854 3.576 2.427
Co 4.881 2.137 0.000
Co 2.137 3.637 0.000
Co 2.122 0.622 2.427
Co -0.622 2.122 2.427
Si 0.000 0.000 2.427
```

Output
magnetization = 0.000 μB/cell
crystal system = tetragonal
energy relative to the lowest polymorph listed for this composition = 44 meV per atom

Material: CeCo3Si
Method: DFT, GGA-PBE
State: relaxed

Geometry as extended XYZ:
```
10
Lattice="2.899 -6.226 0.000 2.899 6.226 0.000 0.000 0.000 4.357" Properties=species:S:1:pos:R:3 pbc="T T T"
Ce 2.899 5.021 3.268
Ce 2.899 -5.021 1.089
Co 1.746 2.471 1.089
Co 1.746 -2.471 3.268
Co 2.899 0.000 0.000
Co 2.899 0.000 2.178
Co 4.052 2.471 1.089
Co 4.052 -2.471 3.268
Si 2.899 2.084 3.268
Si 2.899 -2.084 1.089
```

Output
magnetization = 2.165 μB/cell
crystal system = orthorhombic
energy relative to the lowest polymorph listed for this composition = 0 meV per atom

Material: Ce3Co6Si5
Method: DFT, GGA-PBE
State: relaxed

Geometry as extended XYZ:
```
28
Lattice="3.873 0.000 0.000 0.000 11.607 0.000 0.000 0.000 9.609" Properties=species:S:1:pos:R:3 pbc="T T T"
Ce 0.968 1.087 2.298
Ce 0.968 4.717 2.298
Ce 0.968 8.705 2.479
Ce 2.905 2.902 7.130
Ce 2.905 6.890 7.311
Ce 2.905 10.520 7.311
Co 0.968 0.556 8.648
Co 0.968 2.902 5.001
Co 0.968 2.902 9.507
Co 0.968 5.248 8.648
Co 0.968 6.725 4.698
Co 0.968 10.686 4.698
Co 2.905 0.921 4.911
Co 2.905 4.882 4.911
Co 2.905 6.360 0.962
Co 2.905 8.705 0.102
Co 2.905 8.705 4.608
Co 2.905 11.051 0.962
Si 0.968 0.844 6.176
Si 0.968 4.959 6.176
Si 0.968 7.313 9.591
Si 0.968 8.705 5.816
Si 0.968 10.098 9.591
Si 2.905 1.509 0.018
Si 2.905 2.902 3.794
Si 2.905 4.294 0.018
Si 2.905 6.648 3.434
Si 2.905 10.763 3.434
```

Output
magnetization = 0.000 μB/cell
crystal system = orthorhombic

Material: CeCo3Si3
Method: DFT, GGA-PBE
State: relaxed

Geometry as extended XYZ:
```
14
Lattice="6.201 0.000 0.000 0.000 6.201 0.000 0.000 0.000 6.201" Properties=species:S:1:pos:R:3 pbc="T T T"
Ce 0.000 0.000 0.000
Ce 3.100 3.100 3.100
Co 0.000 1.550 3.100
Co 0.000 4.651 3.100
Co 1.550 3.100 0.000
Co 3.100 0.000 1.550
Co 3.100 0.000 4.651
Co 4.651 3.100 0.000
Si 0.000 3.100 1.550
Si 0.000 3.100 4.651
Si 1.550 0.000 3.100
Si 3.100 1.550 0.000
Si 3.100 4.651 0.000
Si 4.651 0.000 3.100
```

Output
magnetization = 2.645 μB/cell
crystal system = cubic
energy relative to the lowest polymorph listed for this composition = 163 meV per atom

Material: Ce3Co8Si
Method: DFT, GGA-PBE
State: relaxed

Geometry as extended XYZ:
```
24
Lattice="5.004 0.000 0.000 -2.502 4.334 0.000 0.000 0.000 15.808" Properties=species:S:1:pos:R:3 pbc="T T T"
Ce 0.000 2.889 0.612
Ce 0.000 2.889 3.952
Ce 0.000 2.889 7.292
Ce 2.502 1.445 8.516
Ce 2.502 1.445 11.856
Ce 2.502 1.445 15.196
Co 0.000 0.000 0.000
Co 0.000 0.000 7.904
Co 0.000 1.435 9.964
Co 0.000 1.435 13.748
Co -1.259 3.616 9.964
Co -1.259 3.616 13.748
Co 1.243 0.717 2.060
Co 1.243 0.717 5.844
Co 0.000 2.889 11.856
Co 2.502 1.445 3.952
Co 1.259 3.616 9.964
Co 1.259 3.616 13.748
Co 3.762 0.717 2.060
Co 3.762 0.717 5.844
Co 2.502 2.899 2.060
Co 2.502 2.899 5.844
Si 0.000 0.000 3.952
Si 0.000 0.000 11.856
```

Output
magnetization = 6.725 μB/cell
crystal system = hexagonal
energy relative to the lowest polymorph listed for this composition = 7 meV per atom

Material: CeCo4Si
Method: DFT, GGA-PBE
State: relaxed

Geometry as extended XYZ:
```
12
Lattice="-2.247 2.247 9.514 2.247 -2.247 9.514 2.247 2.247 -9.514" Properties=species:S:1:pos:R:3 pbc="T T T"
Ce 2.247 1.124 2.378
Ce 0.000 1.124 7.135
Co 1.136 1.124 -0.431
Co 3.358 1.124 -0.431
Co 0.000 0.012 4.326
Co 2.247 0.012 5.188
Co 0.000 2.235 4.326
Co 2.247 2.235 5.188
Co -1.111 1.124 9.945
Co 1.111 1.124 9.945
Si 2.247 -1.124 7.135
Si 0.000 3.371 2.378
```

Output
magnetization = 9.432 μB/cell
crystal system = tetragonal

So what do the calculations give for uncorrected formation energy? Going down the list: -3.300, -10.876, -15.813, -2.150, -2.580, 3.832, -2.641, -0.609, -9.337, -1.442, -3.513, 0.303 eV per formula unit.
So what do the calculations give for calculated volume? Going down the list: 287.6, 339.4, 464.8, 189.5, 206.2, 232.5, 176.1, 157.3, 432.0, 238.4, 342.8, 192.2 Å³ per cell.
So what do the calculations give for final energy? Going down the list: -6.4396, -4.8213, -5.0463, -6.9295, -6.5857, -6.4156, -6.6915, -6.6566, -6.9207, -6.4232, -6.9654, -6.5796 eV per atom.